No. 1
This record from the Alexandria database describes crystalline LaY5Ho3 at its relaxed geometry. The functional is PBE.

```
18
Lattice="-9.1508 -4.1911 0.2076 -7.0738 -4.5947 -5.4950 0.6067 -11.1562 1.0105" Properties=species:S:1:pos:R:3 pbc="T T T"
Ho 0.3034 -5.5781 0.5053
Ho -4.4599 -7.0199 -2.8792
Ho 0.0000 0.0000 0.0000
Ho -10.3398 -7.5620 -4.9824
Ho -11.1580 -12.9221 -1.3976
Ho -5.2781 -12.3801 0.7055
La -8.4307 -12.6098 0.2378
La -7.1872 -7.3323 -4.5147
Y -11.0976 -9.1312 -1.8037
Y -10.0619 -11.2154 -4.4147
Y -5.5559 -8.7267 0.1378
Y -9.7750 -14.9074 -4.0971
Y -7.4298 -12.8043 -2.5104
Y -4.8709 -3.3407 -3.0813
Y -10.7470 -16.6014 -1.1955
Y -8.1881 -7.1378 -1.7664
Y -4.5202 -10.8108 -2.4732
Y -5.8429 -5.0347 -0.1798
```

Calculated density in kg/m³: 5924
Density of states at the Fermi level in states/eV/f.u.: 14.8
Formation energy from the elements in meV per atom: 324
Energy above the lowest structure with this stoichiometry in eV/atom: 0.061
Total magnetization in Bohr magnetons per cell: 0.00

=====

No. 2
This record from the Alexandria database describes crystalline ZnFeP2 at its relaxed geometry. The functional is PBE.

```
4
Lattice="4.1916 0.0079 0.0000 -1.1473 4.0316 0.0000 0.0000 0.0000 3.1554" Properties=species:S:1:pos:R:3 pbc="T T T"
P 0.0000 0.0000 0.0000
P 1.5222 2.0197 0.0000
Zn 2.0958 0.0039 1.5777
Fe -0.5736 2.0158 1.5777
```

Calculated density in kg/m³: 5702
Density of states at the Fermi level in states/eV/f.u.: 3.3
Formation energy from the elements in meV per atom: 284
Total magnetization in Bohr magnetons per cell: 1.59

=====

No. 3
This record from the Alexandria database describes crystalline Na9Sn4 at its relaxed geometry. The functional is PBE.

```
26
Lattice="-4.5757 1.2566 2.6319 4.5308 -1.0677 2.7883 7.2453 28.3243 -0.9273" Properties=species:S:1:pos:R:3 pbc="T T T"
Na 2.2987 9.1557 2.4135
Na 2.3749 22.1128 1.9625
Na 4.0517 28.6606 1.7481
Na 4.8255 6.4005 2.5305
Na 3.2110 25.3912 1.8551
Na 3.9895 3.1220 2.6378
Na 1.2853 5.1937 2.5432
Na 5.9152 23.3195 1.9497
Na -0.1047 12.4172 2.2799
Na 9.5903 25.0295 1.9206
Na 3.1488 -0.1474 2.7448
Na 0.7015 15.5640 2.1769
Na 4.9017 19.3575 2.0794
Na 7.3051 16.0960 2.2130
Na 1.5340 18.8355 2.0697
Na 6.4989 12.9492 2.3160
Na 5.6664 9.6777 2.4232
Na -2.3898 3.4837 2.5724
Sn 0.3477 1.5457 2.6626
Sn 6.8527 26.9676 1.8303
Sn 8.0914 19.1860 2.1118
Sn -1.5959 6.5718 2.4713
Sn -0.8910 9.3273 2.3811
Sn 3.9723 15.7073 2.1990
Sn 8.7963 21.9415 2.0216
Sn 3.2281 12.8059 2.2939
```

Calculated density in kg/m³: 3037
Density of states at the Fermi level in states/eV/f.u.: 4.5
Formation energy from the elements in meV per atom: -185
Total magnetization in Bohr magnetons per cell: 0.00

=====

No. 4
This record from the Alexandria database describes crystalline Cs2NaGe2 at its relaxed geometry. The functional is PBE.

```
10
Lattice="-5.0283 4.7601 2.5449 -1.1827 -6.9704 0.0091 5.3331 1.1627 8.3625" Properties=species:S:1:pos:R:3 pbc="T T T"
Ge 4.5082 -3.4598 8.3607
Ge -1.4590 -0.9166 5.8500
Ge -5.3862 2.4123 2.5558
Ge 0.5810 -0.1310 5.0665
Cs 1.1128 -1.4707 8.6631
Cs -1.0708 2.6578 7.3186
Cs -1.9908 0.4231 2.2534
Cs 0.1928 -3.7054 3.5980
Na 3.6001 1.2503 6.4741
Na -3.2954 4.6725 4.4333
```

Calculated density in kg/m³: 3340
Density of states at the Fermi level in states/eV/f.u.: 1.5
Formation energy from the elements in meV per atom: -33
Total magnetization in Bohr magnetons per cell: 0.00

=====

No. 5
This record from the Alexandria database describes crystalline PaHgO3 at its relaxed geometry. The functional is PBE.

```
5
Lattice="4.3744 0.0000 0.0000 0.0000 4.3744 0.0000 0.0000 0.0000 4.3744" Properties=species:S:1:pos:R:3 pbc="T T T"
O 2.1872 0.0000 2.1872
O 0.0000 2.1872 2.1872
O 2.1872 2.1872 0.0000
Pa 2.1872 2.1872 2.1872
Hg 0.0000 0.0000 0.0000
```

Calculated density in kg/m³: 9515
Density of states at the Fermi level in states/eV/f.u.: 3.1
Total magnetization in Bohr magnetons per cell: 0.00
ΔE_f (raw) in kJ/mol of formula units: -1149.6

=====

No. 6
This record from the Alexandria database describes crystalline Be3ICl at its relaxed geometry. The functional is PBE.

```
5
Lattice="4.5690 0.0000 0.0000 0.0000 4.5690 0.0000 0.0000 0.0000 4.5690" Properties=species:S:1:pos:R:3 pbc="T T T"
I 2.2845 2.2845 2.2845
Be 2.2845 0.0000 0.0000
Be 0.0000 2.2845 0.0000
Be 0.0000 0.0000 2.2845
Cl 0.0000 0.0000 0.0000
```

Calculated density in kg/m³: 3297
Density of states at the Fermi level in states/eV/f.u.: 1.3
Energy above the lowest structure with this stoichiometry in eV/atom: 0.000
Total magnetization in Bohr magnetons per cell: 0.00
ΔE_f (raw) in kJ/mol of formula units: 619.4

=====

No. 7
This record from the Alexandria database describes crystalline DyGe2Se3 at its relaxed geometry. The functional is PBE.

```
12
Lattice="3.9855 0.0000 0.0000 0.0000 8.0930 2.3013 0.0000 0.8759 11.5400" Properties=species:S:1:pos:R:3 pbc="T T T"
Ge 2.9892 6.5405 7.8536
Ge 0.9964 0.2682 0.7301
Ge 0.9964 2.4284 5.9877
Ge 2.9892 8.7007 13.1112
Se 2.9892 8.1122 9.9256
Se 2.9892 3.9739 5.2259
Se 0.9964 4.9950 8.6154
Se 0.9964 0.8567 3.9158
Se 0.9964 3.5950 12.2726
Se 2.9892 5.3739 1.5688
Dy 0.9964 6.3973 10.9767
Dy 2.9892 2.5716 2.8647
```

Calculated density in kg/m³: 4967
Density of states at the Fermi level in states/eV/f.u.: 1.2
Total magnetization in Bohr magnetons per cell: 0.00
ΔE_f (raw) in kJ/mol of formula units: -440.4

=====

No. 8
This record from the Alexandria database describes crystalline Sm6BiSe2S3 at its relaxed geometry. The functional is PBE.

```
12
Lattice="-3.2549 -2.2671 1.1302 1.7924 -5.5789 -6.0288 6.2276 -1.8419 6.7142" Properties=species:S:1:pos:R:3 pbc="T T T"
Sm 3.8409 -4.2775 2.4810
Sm 0.9242 -5.4104 -0.6654
Sm 1.3373 -4.0692 -4.3110
Sm 4.6531 -7.1262 -0.8942
Sm 0.1120 -2.5617 2.7098
Sm 3.4278 -5.6188 6.1266
S 1.7661 -4.0894 4.4089
S 2.9990 -5.5985 -2.5933
S -0.7313 -3.9230 -2.4493
Bi -1.6275 -1.1336 0.5651
Se 2.6143 -6.8214 1.3715
Se 2.1508 -2.8665 0.4441
```

Calculated density in kg/m³: 7409
Density of states at the Fermi level in states/eV/f.u.: 3.6
Total magnetization in Bohr magnetons per cell: 0.00
ΔE_f (raw) in kJ/mol of formula units: -2022.8

=====

No. 9
This record from the Alexandria database describes crystalline YCdRh at its relaxed geometry. The functional is PBE.

```
3
Lattice="5.5987 -0.0160 0.0179 4.4875 3.3478 0.0150 1.1112 0.3698 3.3434" Properties=species:S:1:pos:R:3 pbc="T T T"
Cd 1.2410 0.4125 3.2955
Rh 7.1199 2.3529 1.1271
Y 3.9478 1.3059 2.2971
```

Calculated density in kg/m³: 8039
Density of states at the Fermi level in states/eV/f.u.: 1.8
Formation energy from the elements in meV per atom: -488
Total magnetization in Bohr magnetons per cell: 0.00

=====

No. 10
This record from the Alexandria database describes crystalline SmSc5Sb6 at its relaxed geometry. The functional is PBE.

```
12
Lattice="7.3099 0.2043 0.0000 2.2544 6.9444 0.0000 1.1272 3.4722 6.3331" Properties=species:S:1:pos:R:3 pbc="T T T"
Sb 4.6907 8.6686 4.1467
Sb 6.0009 1.9523 2.1864
Sb 7.1282 5.4245 4.1467
Sb 3.5635 5.1964 2.1864
Sb 2.4411 1.8696 0.0000
Sb 7.1233 5.2791 0.0000
Sm 0.0000 0.0000 0.0000
Sc 4.7822 3.5743 4.2959
Sc 5.9094 7.0465 2.0372
Sc 1.1272 3.4722 2.1351
Sc 2.2544 6.9444 4.1980
Sc 4.7822 3.5743 0.0000
```

Calculated density in kg/m³: 5763
Density of states at the Fermi level in states/eV/f.u.: 2.5
Total magnetization in Bohr magnetons per cell: 0.00
ΔE_f (raw) in kJ/mol of formula units: -1115.9

=====

No. 11
This record from the Alexandria database describes crystalline Mg6FeBi at its relaxed geometry. The functional is PBE.

```
8
Lattice="-6.0137 2.1005 0.2999 2.2592 -3.8005 4.5956 1.5042 3.9462 2.5240" Properties=species:S:1:pos:R:3 pbc="T T T"
Mg -3.8747 3.0844 2.2820
Mg -0.8786 2.0993 2.0366
Mg -2.8545 1.2046 4.6129
Mg -3.2521 0.1307 1.7339
Mg -0.2530 -0.8545 1.4868
Mg -2.2324 -1.7508 4.0677
Bi 0.2722 0.1264 4.4353
Fe 1.0634 -2.9476 3.9747
```

Calculated density in kg/m³: 3926
Density of states at the Fermi level in states/eV/f.u.: 5.2
Formation energy from the elements in meV per atom: 117
Energy above the lowest structure with this stoichiometry in eV/atom: 0.000
Total magnetization in Bohr magnetons per cell: 2.46

=====

No. 12
This record from the Alexandria database describes crystalline La4TbNd2Tm at its relaxed geometry. The functional is PBE.

```
8
Lattice="-0.9008 3.0737 4.1626 -5.0621 0.1966 -1.2406 -6.7988 -8.0769 4.4930" Properties=species:S:1:pos:R:3 pbc="T T T"
La -8.8964 -5.9000 2.4316
La -3.8653 1.0935 4.9833
La -6.8142 -4.4670 5.1375
La -5.9475 -0.3396 2.2774
Tm -5.9305 -3.9402 1.6262
Tb -9.7803 -6.4417 5.9539
Nd -6.7988 -8.0769 4.4929
Nd -3.8498 -2.5016 4.3278
```

Calculated density in kg/m³: 6955
Density of states at the Fermi level in states/eV/f.u.: 11.8
Formation energy from the elements in meV per atom: 15
Total magnetization in Bohr magnetons per cell: 0.00